[1]
The following is a DFT calculation (PBE) of an optimized crystal structure of ZnCuAs.

Properties
**Final energy**: -38.44 eV for the cell shown
**Energy relative to the elements**: 0.1365 eV/atom
**Spin magnetization**: 0.0 μB per cell
**Mass density**: 7.2 Mg/m³

Geometry as CIF:
```
data_ZnCuAs
_cell_length_a 3.982
_cell_length_b 3.993
_cell_length_c 11.890
_cell_angle_alpha 90.00
_cell_angle_beta 90.00
_cell_angle_gamma 90.00
_symmetry_space_group_name_H-M 'F m m 2'
_symmetry_Int_Tables_number 42
_symmetry_space_group_name_Hall 'F 2 -2'
loop_
_atom_site_label
_atom_site_type_symbol
_atom_site_fract_x
_atom_site_fract_y
_atom_site_fract_z
Zn1 Zn 0.000 0.000 0.000
Cu1 Cu 0.000 0.000 0.361
As1 As 0.000 0.000 0.703
```

[2]
The following is a DFT calculation (PBE) of an optimized crystal structure of ZnCuAs2.

Properties
**Final energy**: -42.57 eV for the cell shown
**Energy relative to the elements**: 0.1200 eV/atom
**Spin magnetization**: 0.0 μB per cell
**Mass density**: 6.6 Mg/m³

Geometry as CIF:
```
data_ZnCuAs2
_cell_length_a 3.6342
_cell_length_b 3.6342
_cell_length_c 18.3073
_cell_angle_alpha 90.00
_cell_angle_beta 90.00
_cell_angle_gamma 120.00
_symmetry_space_group_name_H-M 'R -3 m'
_symmetry_Int_Tables_number 166
_symmetry_space_group_name_Hall '-R 3 2"'
loop_
_atom_site_label
_atom_site_type_symbol
_atom_site_fract_x
_atom_site_fract_y
_atom_site_fract_z
Zn1 Zn 0.0000 0.0000 0.0000
Cu1 Cu 0.0000 0.0000 0.5000
As1 As 0.0000 0.0000 0.2420
```

[3]
The following is a DFT calculation (PBE) of an optimized crystal structure of ZnCuAs2.

Properties
**Final energy**: -13.78 eV for the cell shown
**Energy relative to the elements**: 0.2234 eV/atom
**Spin magnetization**: 0.0 μB per cell
**Mass density**: 6.9 Mg/m³

Geometry as CIF:
```
data_ZnCuAs2
_cell_length_a 5.038
_cell_length_b 5.038
_cell_length_c 2.651
_cell_angle_alpha 90.00
_cell_angle_beta 90.00
_cell_angle_gamma 90.00
_symmetry_space_group_name_H-M 'P 4/m m m'
_symmetry_Int_Tables_number 123
_symmetry_space_group_name_Hall '-P 4 2'
loop_
_atom_site_label
_atom_site_type_symbol
_atom_site_fract_x
_atom_site_fract_y
_atom_site_fract_z
Zn1 Zn 0.000 0.000 0.000
Cu1 Cu 0.500 0.500 0.000
As1 As 0.000 0.500 0.500
```

[4]
The following is a DFT calculation (PBE) of an optimized crystal structure of ZnCu2As.

Properties
**Energy relative to the lowest polymorph listed for this composition**: 0.0294 eV/atom
**Final energy**: -13.81 eV for the cell shown
**Energy relative to the elements**: 0.0764 eV/atom
**Spin magnetization**: 0.0 μB per cell
**Mass density**: 7.5 Mg/m³

Geometry as CIF:
```
data_ZnCu2As
_cell_length_a 3.029
_cell_length_b 4.086
_cell_length_c 4.872
_cell_angle_alpha 90.00
_cell_angle_beta 101.58
_cell_angle_gamma 90.00
_symmetry_space_group_name_H-M 'P 1 m 1'
_symmetry_Int_Tables_number 6
_symmetry_space_group_name_Hall 'P -2y'
loop_
_atom_site_label
_atom_site_type_symbol
_atom_site_fract_x
_atom_site_fract_y
_atom_site_fract_z
Zn1 Zn 0.000 0.000 0.000
Cu1 Cu 0.331 0.000 0.554
Cu2 Cu 0.473 0.500 0.865
As1 As 0.879 0.500 0.377
```

[5]
The following is a DFT calculation (PBE) of an optimized crystal structure of ZnCu3As.

Properties
**Energy relative to the lowest polymorph listed for this composition**: 0.0000 eV/atom
**Final energy**: -16.12 eV for the cell shown
**Energy relative to the elements**: 0.4180 eV/atom
**Spin magnetization**: 0.0 μB per cell
**Mass density**: 5.8 Mg/m³

Geometry as CIF:
```
data_ZnCu3As
_cell_length_a 4.561
_cell_length_b 4.561
_cell_length_c 4.561
_cell_angle_alpha 90.00
_cell_angle_beta 90.00
_cell_angle_gamma 90.00
_symmetry_space_group_name_H-M 'P m -3 m'
_symmetry_Int_Tables_number 221
_symmetry_space_group_name_Hall '-P 4 2 3'
loop_
_atom_site_label
_atom_site_type_symbol
_atom_site_fract_x
_atom_site_fract_y
_atom_site_fract_z
Zn1 Zn 0.000 0.000 0.000
Cu1 Cu 0.000 0.500 0.500
As1 As 0.500 0.500 0.500
```

[6]
The following is a DFT calculation (PBE) of an optimized crystal structure of ZnCuAs2.

Properties
**Final energy**: -27.49 eV for the cell shown
**Energy relative to the elements**: 0.2314 eV/atom
**Spin magnetization**: 0.0 μB per cell
**Mass density**: 6.9 Mg/m³

Geometry as CIF:
```
data_ZnCuAs2
_cell_length_a 3.891
_cell_length_b 4.487
_cell_length_c 7.702
_cell_angle_alpha 90.00
_cell_angle_beta 90.00
_cell_angle_gamma 90.00
_symmetry_space_group_name_H-M 'C m m m'
_symmetry_Int_Tables_number 65
_symmetry_space_group_name_Hall '-C 2 2'
loop_
_atom_site_label
_atom_site_type_symbol
_atom_site_fract_x
_atom_site_fract_y
_atom_site_fract_z
Zn1 Zn 0.000 0.000 0.000
Cu1 Cu 0.000 0.000 0.500
As1 As 0.000 0.500 0.269
```

[7]
The following is a DFT calculation (PBE) of an optimized crystal structure of ZnCu2As.

Properties
**Energy relative to the lowest polymorph listed for this composition**: 0.0839 eV/atom
**Final energy**: -40.78 eV for the cell shown
**Energy relative to the elements**: 0.1309 eV/atom
**Spin magnetization**: 0.0 μB per cell
**Mass density**: 7.6 Mg/m³

Geometry as CIF:
```
data_ZnCu2As
_cell_length_a 2.8966
_cell_length_b 2.8966
_cell_length_c 24.1127
_cell_angle_alpha 90.00
_cell_angle_beta 90.00
_cell_angle_gamma 120.00
_symmetry_space_group_name_H-M 'R -3 m'
_symmetry_Int_Tables_number 166
_symmetry_space_group_name_Hall '-R 3 2"'
loop_
_atom_site_label
_atom_site_type_symbol
_atom_site_fract_x
_atom_site_fract_y
_atom_site_fract_z
Zn1 Zn 0.0000 0.0000 0.0000
Cu1 Cu 0.0000 0.0000 0.2504
As1 As 0.0000 0.0000 0.5000
```

[8]
The following is a DFT calculation (PBE) of an optimized crystal structure of ZnCu2As.

Properties
**Energy relative to the lowest polymorph listed for this composition**: 0.0184 eV/atom
**Final energy**: -13.85 eV for the cell shown
**Energy relative to the elements**: 0.0654 eV/atom
**Spin magnetization**: 0.0 μB per cell
**Mass density**: 7.7 Mg/m³

Geometry as CIF:
```
data_ZnCu2As
_cell_length_a 3.355
_cell_length_b 3.355
_cell_length_c 5.106
_cell_angle_alpha 90.00
_cell_angle_beta 90.00
_cell_angle_gamma 90.00
_symmetry_space_group_name_H-M 'P 4 m m'
_symmetry_Int_Tables_number 99
_symmetry_space_group_name_Hall 'P 4 -2'
loop_
_atom_site_label
_atom_site_type_symbol
_atom_site_fract_x
_atom_site_fract_y
_atom_site_fract_z
Zn1 Zn 0.000 0.000 0.000
Cu1 Cu 0.000 0.000 0.515
Cu2 Cu 0.500 0.500 0.772
As1 As 0.500 0.500 0.287
```

[9]
The following is a DFT calculation (PBE) of an optimized crystal structure of Zn3CuAs.

Properties
**Energy relative to the lowest polymorph listed for this composition**: 0.0000 eV/atom
**Final energy**: -10.45 eV for the cell shown
**Energy relative to the elements**: 0.4236 eV/atom
**Spin magnetization**: 0.0 μB per cell
**Mass density**: 5.8 Mg/m³

Geometry as CIF:
```
data_Zn3CuAs
_cell_length_a 4.581
_cell_length_b 4.581
_cell_length_c 4.581
_cell_angle_alpha 90.00
_cell_angle_beta 90.00
_cell_angle_gamma 90.00
_symmetry_space_group_name_H-M 'P m -3 m'
_symmetry_Int_Tables_number 221
_symmetry_space_group_name_Hall '-P 4 2 3'
loop_
_atom_site_label
_atom_site_type_symbol
_atom_site_fract_x
_atom_site_fract_y
_atom_site_fract_z
Zn1 Zn 0.000 0.000 0.500
Cu1 Cu 0.000 0.000 0.000
As1 As 0.500 0.500 0.500
```

[10]
The following is a DFT calculation (PBE) of an optimized crystal structure of ZnCu2As.

Properties
**Energy relative to the lowest polymorph listed for this composition**: 0.0995 eV/atom
**Final energy**: -54.12 eV for the cell shown
**Energy relative to the elements**: 0.1466 eV/atom
**Spin magnetization**: 0.0 μB per cell
**Mass density**: 7.6 Mg/m³

Geometry as CIF:
```
data_ZnCu2As
_cell_length_a 6.151
_cell_length_b 6.151
_cell_length_c 6.151
_cell_angle_alpha 90.00
_cell_angle_beta 90.00
_cell_angle_gamma 90.00
_symmetry_space_group_name_H-M 'F m -3 m'
_symmetry_Int_Tables_number 225
_symmetry_space_group_name_Hall '-F 4 2 3'
loop_
_atom_site_label
_atom_site_type_symbol
_atom_site_fract_x
_atom_site_fract_y
_atom_site_fract_z
Zn1 Zn 0.000 0.000 0.000
Cu1 Cu 0.250 0.250 0.250
As1 As 0.000 0.000 0.500
```

[11]
The following is a DFT calculation (PBE) of an optimized crystal structure of ZnCu2As.

Properties
**Energy relative to the lowest polymorph listed for this composition**: 0.0120 eV/atom
**Final energy**: -27.76 eV for the cell shown
**Energy relative to the elements**: 0.0591 eV/atom
**Spin magnetization**: 0.0 μB per cell
**Mass density**: 7.8 Mg/m³

Geometry as CIF:
```
data_ZnCu2As
_cell_length_a 3.769
_cell_length_b 3.769
_cell_length_c 7.971
_cell_angle_alpha 90.00
_cell_angle_beta 90.00
_cell_angle_gamma 90.00
_symmetry_space_group_name_H-M 'I -4 m 2'
_symmetry_Int_Tables_number 119
_symmetry_space_group_name_Hall 'I -4 -2'
loop_
_atom_site_label
_atom_site_type_symbol
_atom_site_fract_x
_atom_site_fract_y
_atom_site_fract_z
Zn1 Zn 0.000 0.000 0.000
Cu1 Cu 0.000 0.000 0.500
Cu2 Cu 0.000 0.500 0.250
As1 As 0.000 0.500 0.750
```

[12]
The following is a DFT calculation (PBE) of an optimized crystal structure of ZnCuAs.

Properties
**Final energy**: -9.57 eV for the cell shown
**Energy relative to the elements**: 0.1512 eV/atom
**Spin magnetization**: 0.0 μB per cell
**Mass density**: 6.7 Mg/m³

Geometry as CIF:
```
data_ZnCuAs
_cell_length_a 4.0668
_cell_length_b 4.0668
_cell_length_c 3.5413
_cell_angle_alpha 90.00
_cell_angle_beta 90.00
_cell_angle_gamma 120.00
_symmetry_space_group_name_H-M 'P 3 m 1'
_symmetry_Int_Tables_number 156
_symmetry_space_group_name_Hall 'P 3 -2"'
loop_
_atom_site_label
_atom_site_type_symbol
_atom_site_fract_x
_atom_site_fract_y
_atom_site_fract_z
Zn1 Zn 0.0000 0.0000 0.0000
Cu1 Cu 0.3333 0.6667 0.6895
As1 As 0.6667 0.3333 0.5116
```